DFT (PBE-GGA) results for a relaxed La2Zn2Cd crystal.

Cell: 3.6995 3.6995 10.2186 Å, 79.57 79.57 90.00°
Last column: nearest neighbours and their distance in Å.
Fractional coordinates of all 5 atoms:
Zn1 0.7500 0.2500 0.5000  4 Zn 2.62
Zn2 0.2500 0.7500 0.5000  4 Zn 2.62
Cd1 0.0000 0.0000 0.0000  8 La 3.41, 4 Cd 3.70
La1 0.3889 0.3889 0.2221  4 Zn 3.31, 4 Cd 3.41, 4 La 3.70
La2 0.6111 0.6111 0.7779  4 Zn 3.31, 4 Cd 3.41, 4 La 3.70

Output
As for the formation energy: -0.58 eV per formula unit. The density of states at the Fermi level comes out at 8.102 states/eV/f.u.



DFT (PBE-GGA) results for a relaxed La4ZnCd crystal.

Cell: 6.5036 6.5036 6.5036 Å, 60.00 60.00 60.00°
Last column: nearest neighbours and their distance in Å.
Fractional coordinates of all 6 atoms:
La1 0.8748 0.3751 0.3751  6 La 3.25
La2 0.3751 0.3751 0.8748  6 La 3.25
La3 0.3751 0.8748 0.3751  6 La 3.25
La4 0.3751 0.3751 0.3751  6 La 3.25
Zn1 0.7500 0.7500 0.7500  12 La 3.81, 4 Cd 3.98
Cd1 0.0000 0.0000 0.0000  12 La 3.81, 4 Zn 3.98

Output
As for the formation energy: 1.80 eV per formula unit. The value obtained for the offset from the most stable computed form is 503 meV/atom. The density of states at the Fermi level comes out at 8.758 states/eV/f.u.



DFT (PBE-GGA) results for a relaxed La2Zn15Cd2 crystal.

Cell: 6.9931 6.9931 6.9931 Å, 82.80 82.80 82.80°
Last column: nearest neighbours and their distance in Å.
Fractional coordinates of all 19 atoms:
La1 0.3411 0.3411 0.3411  1 Cd 3.21, 18 Zn 3.25-3.57
La2 0.6589 0.6589 0.6589  1 Cd 3.21, 18 Zn 3.25-3.57
Zn1 0.5000 0.0000 0.0000  8 Zn 2.66-2.72, 2 Cd 2.80
Zn2 0.0000 0.0000 0.5000  8 Zn 2.66-2.72, 2 Cd 2.80
Zn3 0.0000 0.5000 0.0000  8 Zn 2.66-2.72, 2 Cd 2.80
Zn4 0.0000 0.7038 0.2962  8 Zn 2.66-2.82
Zn5 0.7038 0.2962 0.0000  8 Zn 2.66-2.82
Zn6 0.2962 0.0000 0.7038  8 Zn 2.66-2.82
Zn7 0.2962 0.7038 0.0000  8 Zn 2.66-2.82
Zn8 0.7038 0.0000 0.2962  8 Zn 2.66-2.82
Zn9 0.0000 0.2962 0.7038  8 Zn 2.66-2.82
Zn10 0.1650 0.6480 0.6480  8 Zn 2.60-2.82
Zn11 0.6480 0.6480 0.1650  8 Zn 2.60-2.82
Zn12 0.6480 0.1650 0.6480  8 Zn 2.60-2.82
Zn13 0.8350 0.3520 0.3520  8 Zn 2.60-2.82
Zn14 0.3520 0.3520 0.8350  8 Zn 2.60-2.82
Zn15 0.3520 0.8350 0.3520  8 Zn 2.60-2.82
Cd1 0.1039 0.1039 0.1039  12 Zn 2.80-3.08, 1 Cd 2.82
Cd2 0.8961 0.8961 0.8961  12 Zn 2.80-3.08, 1 Cd 2.82

Output
As for the formation energy: -4.64 eV per formula unit. The density of states at the Fermi level comes out at 3.921 states/eV/f.u.



Number 1: calculated volume 135.2 Å³ per cell. Number 2: calculated volume 194.5 Å³ per cell. Number 3: calculated volume 334.5 Å³ per cell.